[1]
A relaxed structure of YZnTe. Source: Alexandria, functional PBE. Values from VASP.

Cell and atoms, written as Quantum ESPRESSO input:
```
&SYSTEM
  ibrav = 0, nat = 3, ntyp = 3
/
ATOMIC_SPECIES
Te 127.60 Te.upf
Y 88.91 Y.upf
Zn 65.41 Zn.upf
CELL_PARAMETERS angstrom
4.890 0.000 0.000
2.445 4.235 0.000
2.445 1.412 3.993
ATOMIC_POSITIONS angstrom
Te 0.000 0.000 0.000
Y 4.890 2.823 1.996
Zn 2.445 1.412 0.998
```

excess energy over the best structure of this formula in the dataset = 53.0 kJ per mole of atoms
ΔE_f (raw) = -292 meV/atom
crystal system = cubic
space group = No. 216
V = 82.7 Å³ per cell

***

[2]
A relaxed structure of Y5ZnTe4. Source: Alexandria, functional PBE. Values from VASP.

Cell and atoms, written as Quantum ESPRESSO input:
```
&SYSTEM
  ibrav = 0, nat = 10, ntyp = 3
/
ATOMIC_SPECIES
Y 88.91 Y.upf
Zn 65.41 Zn.upf
Te 127.60 Te.upf
CELL_PARAMETERS angstrom
5.519 0.000 2.662
2.760 6.859 1.331
-0.220 0.000 7.509
ATOMIC_POSITIONS angstrom
Y 5.847 2.578 9.047
Y 3.664 5.609 6.521
Y 4.404 1.250 4.986
Y 2.221 4.282 2.460
Y 2.769 0.000 1.335
Zn 0.010 0.000 0.005
Te 3.182 2.725 7.519
Te 6.487 5.390 7.719
Te 1.580 1.469 3.787
Te 4.885 4.135 3.988
```

ΔE_f (raw) = -1148 meV/atom
crystal system = tetragonal
space group = No. 79
V = 288.3 Å³ per cell

***

[3]
A relaxed structure of Y2ZnTe. Source: Alexandria, functional PBE. Values from VASP.

Cell and atoms, written as Quantum ESPRESSO input:
```
&SYSTEM
  ibrav = 0, nat = 4, ntyp = 3
/
ATOMIC_SPECIES
Y 88.91 Y.upf
Zn 65.41 Zn.upf
Te 127.60 Te.upf
CELL_PARAMETERS angstrom
-1.453 -3.500 1.589
2.590 -2.822 1.487
0.005 1.148 7.820
ATOMIC_POSITIONS angstrom
Y 0.008 1.115 7.748
Y 0.567 -2.553 5.520
Zn 0.856 -3.880 8.172
Te 0.285 -1.293 2.724
```

excess energy over the best structure of this formula in the dataset = 5.8 kJ per mole of atoms
ΔE_f (raw) = -785 meV/atom
crystal system = monoclinic
space group = No. 12
V = 110.2 Å³ per cell

***

[4]
A relaxed structure of Y4ZnTe. Source: Alexandria, functional PBE. Values from VASP.

Cell and atoms, written as Quantum ESPRESSO input:
```
&SYSTEM
  ibrav = 0, nat = 24, ntyp = 3
/
ATOMIC_SPECIES
Y 88.91 Y.upf
Zn 65.41 Zn.upf
Te 127.60 Te.upf
CELL_PARAMETERS angstrom
-3.444 1.922 -0.333
-0.058 -1.539 -8.287
-9.735 -16.883 3.204
ATOMIC_POSITIONS angstrom
Y -8.992 -10.879 -5.105
Y -4.245 -5.620 -0.311
Y -2.392 -3.127 -5.074
Y -10.845 -13.373 -0.342
Y -6.916 -7.332 -6.094
Y -6.321 -9.167 0.678
Y -10.047 -16.349 -2.248
Y -3.189 -0.150 -3.168
Y -11.683 -15.750 -5.397
Y -1.554 -0.750 -0.019
Y -5.067 -7.561 -3.016
Y -8.170 -8.939 -2.400
Y -4.760 -3.750 -7.704
Y -8.477 -12.750 2.288
Y -7.879 -12.433 -2.061
Y -5.358 -4.067 -3.355
Zn -7.020 -6.604 -0.817
Zn -6.217 -9.896 -4.599
Zn -10.166 -16.025 0.853
Zn -3.071 -0.475 -6.269
Te -10.536 -13.383 -3.595
Te -2.701 -3.117 -1.821
Te -3.950 -6.002 -5.563
Te -9.287 -10.498 0.147
```

excess energy over the best structure of this formula in the dataset = 0.0 kJ per mole of atoms
ΔE_f (raw) = -556 meV/atom
crystal system = orthorhombic
space group = No. 62
V = 658.9 Å³ per cell

***

[5]
A relaxed structure of Y6ZnTe5. Source: Alexandria, functional PBE. Values from VASP.

Cell and atoms, written as Quantum ESPRESSO input:
```
&SYSTEM
  ibrav = 0, nat = 12, ntyp = 3
/
ATOMIC_SPECIES
Y 88.91 Y.upf
Zn 65.41 Zn.upf
Te 127.60 Te.upf
CELL_PARAMETERS angstrom
7.405 -0.104 -1.393
-3.991 6.238 -1.393
0.142 0.254 7.508
ATOMIC_POSITIONS angstrom
Y 2.582 0.493 1.098
Y 4.496 3.934 3.625
Y 0.881 1.583 5.070
Y 2.674 4.805 -0.347
Y -0.941 2.454 1.098
Y 0.974 5.895 3.625
Zn 0.000 0.000 0.000
Te 5.456 1.147 2.362
Te 3.576 2.027 -1.393
Te 1.778 3.194 2.362
Te -0.162 4.107 -1.393
Te -1.900 5.241 2.362
```

ΔE_f (raw) = -1196 meV/atom
crystal system = monoclinic
space group = No. 12
V = 349.0 Å³ per cell

***

[6]
A relaxed structure of Y2ZnTe. Source: Alexandria, functional PBE. Values from VASP.

Cell and atoms, written as Quantum ESPRESSO input:
```
&SYSTEM
  ibrav = 0, nat = 4, ntyp = 3
/
ATOMIC_SPECIES
Te 127.60 Te.upf
Y 88.91 Y.upf
Zn 65.41 Zn.upf
CELL_PARAMETERS angstrom
6.302 0.006 0.000
3.305 5.365 0.000
-4.803 -2.685 3.070
ATOMIC_POSITIONS angstrom
Te 3.151 0.003 1.535
Y 0.000 0.000 0.000
Y 1.653 2.683 1.535
Zn 4.803 2.685 0.000
```

excess energy over the best structure of this formula in the dataset = 25.2 kJ per mole of atoms
ΔE_f (raw) = -584 meV/atom
crystal system = tetragonal
space group = No. 119
V = 103.7 Å³ per cell

***

[7]
A relaxed structure of YZn2Te. Source: Alexandria, functional PBE. Values from VASP.

Cell and atoms, written as Quantum ESPRESSO input:
```
&SYSTEM
  ibrav = 0, nat = 4, ntyp = 3
/
ATOMIC_SPECIES
Te 127.60 Te.upf
Y 88.91 Y.upf
Zn 65.41 Zn.upf
CELL_PARAMETERS angstrom
-1.799 3.340 0.592
-1.963 -1.572 2.902
4.535 1.734 4.007
ATOMIC_POSITIONS angstrom
Te 2.305 0.881 2.037
Y 1.486 2.171 4.722
Zn 0.179 0.069 0.158
Zn -0.930 1.248 2.587
```

ΔE_f (raw) = -439 meV/atom
crystal system = tetragonal
space group = No. 99
V = 92.8 Å³ per cell

***

[8]
A relaxed structure of YZn2Te. Source: Alexandria, functional PBE. Values from VASP.

Cell and atoms, written as Quantum ESPRESSO input:
```
&SYSTEM
  ibrav = 0, nat = 4, ntyp = 3
/
ATOMIC_SPECIES
Te 127.60 Te.upf
Y 88.91 Y.upf
Zn 65.41 Zn.upf
CELL_PARAMETERS angstrom
-5.899 -3.254 -2.294
-5.913 -3.482 1.887
-7.117 0.044 -0.022
ATOMIC_POSITIONS angstrom
Te -4.732 -1.673 -0.107
Y -14.196 -5.019 -0.322
Zn -18.829 -6.657 -0.427
Zn -9.563 -3.381 -0.217
```

ΔE_f (raw) = -153 meV/atom
crystal system = trigonal
space group = No. 166
V = 101.6 Å³ per cell

***

[9]
A relaxed structure of Y2ZnTe. Source: Alexandria, functional PBE. Values from VASP.

Cell and atoms, written as Quantum ESPRESSO input:
```
&SYSTEM
  ibrav = 0, nat = 4, ntyp = 3
/
ATOMIC_SPECIES
Te 127.60 Te.upf
Y 88.91 Y.upf
Zn 65.41 Zn.upf
CELL_PARAMETERS angstrom
5.276 -0.022 -0.046
-0.949 5.190 -0.046
0.034 0.041 3.696
ATOMIC_POSITIONS angstrom
Te -0.458 2.616 1.825
Y 0.000 0.000 0.000
Y 2.164 2.584 -0.046
Zn 2.655 0.009 1.825
```

excess energy over the best structure of this formula in the dataset = 20.0 kJ per mole of atoms
ΔE_f (raw) = -637 meV/atom
crystal system = orthorhombic
space group = No. 65
V = 101.2 Å³ per cell

***

[10]
A relaxed structure of YZn2Te. Source: Alexandria, functional PBE. Values from VASP.

Cell and atoms, written as Quantum ESPRESSO input:
```
&SYSTEM
  ibrav = 0, nat = 4, ntyp = 3
/
ATOMIC_SPECIES
Te 127.60 Te.upf
Y 88.91 Y.upf
Zn 65.41 Zn.upf
CELL_PARAMETERS angstrom
5.260 0.000 0.000
0.000 4.159 0.004
0.000 0.061 4.510
ATOMIC_POSITIONS angstrom
Te 2.630 1.055 1.128
Y 2.630 3.165 3.385
Zn 0.000 0.208 4.397
Zn 0.000 1.963 2.371
```

ΔE_f (raw) = -307 meV/atom
crystal system = monoclinic
space group = No. 10
V = 98.7 Å³ per cell

***

[11]
A relaxed structure of Y2ZnTe. Source: Alexandria, functional PBE. Values from VASP.

Cell and atoms, written as Quantum ESPRESSO input:
```
&SYSTEM
  ibrav = 0, nat = 4, ntyp = 3
/
ATOMIC_SPECIES
Y 88.91 Y.upf
Zn 65.41 Zn.upf
Te 127.60 Te.upf
CELL_PARAMETERS angstrom
-4.368 4.197 -0.530
-6.019 0.500 0.709
0.572 1.110 4.071
ATOMIC_POSITIONS angstrom
Y -0.035 0.187 0.511
Y -7.179 4.101 2.674
Zn -4.578 2.925 2.630
Te -2.931 1.496 0.560
```

excess energy over the best structure of this formula in the dataset = 7.9 kJ per mole of atoms
ΔE_f (raw) = -763 meV/atom
crystal system = orthorhombic
space group = No. 38
V = 102.8 Å³ per cell

***

[12]
A relaxed structure of YZn3Te. Source: Alexandria, functional PBE. Values from VASP.

Cell and atoms, written as Quantum ESPRESSO input:
```
&SYSTEM
  ibrav = 0, nat = 5, ntyp = 3
/
ATOMIC_SPECIES
Y 88.91 Y.upf
Zn 65.41 Zn.upf
Te 127.60 Te.upf
CELL_PARAMETERS angstrom
5.172 0.000 0.000
0.000 5.172 0.000
0.000 0.000 5.172
ATOMIC_POSITIONS angstrom
Y 2.586 2.586 2.586
Zn 0.000 2.586 0.000
Zn 0.000 0.000 2.586
Zn 2.586 0.000 0.000
Te 0.000 0.000 0.000
```

excess energy over the best structure of this formula in the dataset = 0.0 kJ per mole of atoms
ΔE_f (raw) = 508 meV/atom
crystal system = cubic
space group = No. 221
V = 138.4 Å³ per cell

***

[13]
A relaxed structure of YZnTe. Source: Alexandria, functional PBE. Values from VASP.

Cell and atoms, written as Quantum ESPRESSO input:
```
&SYSTEM
  ibrav = 0, nat = 3, ntyp = 3
/
ATOMIC_SPECIES
Te 127.60 Te.upf
Y 88.91 Y.upf
Zn 65.41 Zn.upf
CELL_PARAMETERS angstrom
4.747 0.000 0.000
-2.374 4.111 0.000
0.000 0.000 3.862
ATOMIC_POSITIONS angstrom
Te 0.000 0.000 3.463
Y 2.374 1.370 1.419
Zn 0.000 2.741 2.843
```

excess energy over the best structure of this formula in the dataset = 33.8 kJ per mole of atoms
ΔE_f (raw) = -491 meV/atom
crystal system = trigonal
space group = No. 156
V = 75.4 Å³ per cell